Record 1
# AlRePb3

AlRePb3 after structural relaxation (PBE, Alexandria via LeMat-Bulk).

Results
E, eV/atom: -3.979
Crystal system: cubic
Theoretical density, Mg/m³: 9.10
Formation enthalpy at 0 K, meV per atom: 1484
Distance to the lowest polymorph of the same formula, meV/atom: 705.8

Lattice parameters (Å, degrees): 5.3412 5.3412 5.3412 90.00 90.00 90.00
With the nearest neighbours (Å) after each atom.
Fractional coordinates of all 5 atoms:
Al 0.0000 0.0000 0.0000  6 Pb 2.67
Re 0.5000 0.5000 0.5000  12 Pb 3.78
Pb 0.0000 0.0000 0.5000  2 Al 2.67
Pb 0.0000 0.5000 0.0000  2 Al 2.67
Pb 0.5000 0.0000 0.0000  2 Al 2.67

=====

Record 2
# Al2RePb

Al2RePb after structural relaxation (PBE, Alexandria via LeMat-Bulk).

Results
E, eV/atom: -5.433
Crystal system: orthorhombic
Theoretical density, Mg/m³: 10.27
Formation enthalpy at 0 K, meV per atom: 478

Lattice parameters (Å, degrees): 5.2808 5.2808 5.2808 141.95 125.92 68.02
With the nearest neighbours (Å) after each atom.
Fractional coordinates of all 4 atoms:
Al 0.2296 0.2296 0.0000  2 Re 2.65, 2 Pb 2.93
Al 0.7704 0.7704 0.0000  2 Re 2.65, 2 Pb 2.93
Re 0.0000 0.5000 0.5000  4 Al 2.65, 4 Pb 2.95
Pb 0.5000 0.0000 0.5000  8 Al 2.93-3.13, 4 Re 2.95

=====

Record 3
# AlRePb2

AlRePb2 after structural relaxation (PBE, Alexandria via LeMat-Bulk).

Results
E, eV/atom: -5.563
Crystal system: monoclinic
Theoretical density, Mg/m³: 11.27
Formation enthalpy at 0 K, meV per atom: 338

Lattice parameters (Å, degrees): 3.2658 3.3358 8.4915 90.00 91.20 90.00
With the nearest neighbours (Å) after each atom.
Fractional coordinates of all 4 atoms:
Al 0.0000 0.0000 0.0000  4 Re 2.57
Re 0.5070 0.5000 0.1264  4 Al 2.57
Pb 0.0184 0.0000 0.3593  1 Al 3.05, 4 Re 3.06, 4 Pb 3.27-3.34
Pb 0.4847 0.5000 0.7393  4 Al 3.21-3.22, 4 Pb 3.27-3.34, 1 Re 3.29

=====

Record 4
# AlRePb

AlRePb after structural relaxation (PBE, Alexandria via LeMat-Bulk).

Results
E, eV/atom: -5.957
Crystal system: hexagonal
Theoretical density, Mg/m³: 11.96
Formation enthalpy at 0 K, meV per atom: 676
Distance to the lowest polymorph of the same formula, meV/atom: 293.3

Lattice parameters (Å, degrees): 4.3888 4.3888 3.4989 90.00 90.00 120.00
With the nearest neighbours (Å) after each atom.
Fractional coordinates of all 3 atoms:
Al 0.0000 0.0000 0.0000  3 Re 2.53
Re 0.3333 0.6667 0.0000  3 Al 2.53
Pb 0.6667 0.3333 0.5000  6 Al 3.08, 6 Re 3.08

=====

Record 5
# AlRePb3

AlRePb3 after structural relaxation (PBE, Alexandria via LeMat-Bulk).

Results
E, eV/atom: -4.685
Crystal system: cubic
Theoretical density, Mg/m³: 9.03
Formation enthalpy at 0 K, meV per atom: 778
Distance to the lowest polymorph of the same formula, meV/atom: 0.0

Lattice parameters (Å, degrees): 5.3541 5.3541 5.3541 90.00 90.00 90.00
With the nearest neighbours (Å) after each atom.
Fractional coordinates of all 5 atoms:
Al 0.0000 0.0000 0.0000  12 Pb 3.79
Re 0.5000 0.5000 0.5000  6 Pb 2.68
Pb 0.0000 0.5000 0.5000  2 Re 2.68
Pb 0.5000 0.0000 0.5000  2 Re 2.68
Pb 0.5000 0.5000 0.0000  2 Re 2.68

=====

Record 6
# AlRePb2

AlRePb2 after structural relaxation (PBE, Alexandria via LeMat-Bulk).

Results
E, eV/atom: -5.357
Crystal system: orthorhombic
Theoretical density, Mg/m³: 11.24
Formation enthalpy at 0 K, meV per atom: 545

Lattice parameters (Å, degrees): 3.1229 3.1229 10.0541 90.00 90.00 109.02
With the nearest neighbours (Å) after each atom.
Fractional coordinates of all 4 atoms:
Al 0.0000 0.0000 0.0000  2 Re 2.51
Re 0.5000 0.5000 0.1728  2 Al 2.51
Pb 0.0000 0.0000 0.3958  2 Re 2.88, 4 Pb 3.12
Pb 0.5000 0.5000 0.7512  2 Al 3.09, 4 Pb 3.12